Entry 1:
First-principles (GGA-PBE) data for a relaxed PmLuMgSn crystal, as listed in Alexandria.

* density of states at the Fermi level: 4.203 states/eV/f.u.
* magnetic moment: 0.00 μB/f.u.
* electronic total energy: -0.150 hartree per atom

a = 5.3143 Å, b = 5.3143 Å, c = 5.3143 Å
α = 60.00°, β = 60.00°, γ = 60.00°
With the nearest neighbours (Å) after each atom.
Fractional coordinates of all 4 atoms:
Mg1 0.7500 0.7500 0.7500  4 Pm 3.25, 4 Lu 3.25
Sn1 0.2500 0.2500 0.2500  4 Lu 3.25, 4 Pm 3.25
Lu1 0.5000 0.5000 0.5000  4 Mg 3.25, 4 Sn 3.25
Pm1 0.0000 0.0000 0.0000  4 Sn 3.25, 4 Mg 3.25

---

Entry 2:
First-principles (GGA-PBE) data for a relaxed Al2BAu crystal, as listed in Alexandria.

* density of states at the Fermi level: 0.000 states/eV/f.u.
* magnetic moment: 0.00 μB/f.u.
* electronic total energy: -0.151 hartree per atom

a = 5.2559 Å, b = 5.2559 Å, c = 6.6384 Å
α = 66.68°, β = 66.68°, γ = 90.00°
With the nearest neighbours (Å) after each atom.
Fractional coordinates of all 8 atoms:
Au1 0.0000 0.0000 0.0000  4 Al 2.62
Au2 0.7500 0.2500 0.5000  4 Al 2.62
Al1 0.3750 0.4675 0.7500  2 B 2.07
Al2 0.5325 0.1250 0.2500  2 B 2.07
Al3 0.8750 0.7825 0.7500  2 B 2.07
Al4 0.2175 0.6250 0.2500  2 B 2.07
B1 0.2500 0.7500 0.5000  4 Al 2.07
B2 0.5000 0.5000 0.0000  4 Al 2.07

---

Entry 3:
First-principles (GGA-PBE) data for a relaxed CaBe2Pt2 crystal, as listed in Alexandria.

* distance to the lowest polymorph of the same formula: 230 meV/atom
* density of states at the Fermi level: 1.437 states/eV/f.u.
* magnetic moment: 0.00 μB/f.u.

a = 7.2433 Å, b = 7.2433 Å, c = 2.7779 Å
α = 90.00°, β = 90.00°, γ = 90.00°
With the nearest neighbours (Å) after each atom.
Fractional coordinates of all 10 atoms:
Ca1 0.0000 0.0000 0.0000  4 Pt 2.77, 2 Ca 2.78
Ca2 0.5000 0.5000 0.0000  4 Pt 2.77, 2 Ca 2.78
Pt1 0.1472 0.3528 0.0000  6 Be 2.49-2.60, 2 Ca 2.77, 2 Pt 2.78
Pt2 0.6472 0.1472 0.0000  6 Be 2.49-2.60, 2 Ca 2.77, 2 Pt 2.78
Pt3 0.8528 0.6472 0.0000  6 Be 2.49-2.60, 2 Ca 2.77, 2 Pt 2.78
Pt4 0.3528 0.8528 0.0000  6 Be 2.49-2.60, 2 Ca 2.77, 2 Pt 2.78
Be1 0.8624 0.3624 0.5000  6 Pt 2.49-2.60, 2 Be 2.78
Be2 0.3624 0.1376 0.5000  6 Pt 2.49-2.60, 2 Be 2.78
Be3 0.6376 0.8624 0.5000  6 Pt 2.49-2.60, 2 Be 2.78
Be4 0.1376 0.6376 0.5000  6 Pt 2.49-2.60, 2 Be 2.78

---

Entry 4:
First-principles (GGA-PBE) data for a relaxed La2Y2Co crystal, as listed in Alexandria.

* distance to the lowest polymorph of the same formula: 0 meV/atom
* density of states at the Fermi level: 7.352 states/eV/f.u.
* magnetic moment: 0.00 μB/f.u.

a = 5.9619 Å, b = 4.3188 Å, c = 12.1442 Å
α = 100.24°, β = 87.42°, γ = 90.00°
With the nearest neighbours (Å) after each atom.
Fractional coordinates of all 10 atoms:
Y1 0.8952 0.8042 0.6085  2 Co 2.76
Y2 0.3548 0.9458 0.8915  2 Co 2.76
Y3 0.1008 0.1859 0.3719  1 Co 2.66
Y4 0.1492 0.5641 0.1281  1 Co 2.66
Co1 0.5292 0.5012 0.0024  3 La 2.60-2.78, 3 Y 2.66-2.76
Co2 0.7208 0.2488 0.4976  3 La 2.60-2.78, 3 Y 2.66-2.76
La1 0.8633 0.4275 0.8551  1 Co 2.60
La2 0.6661 0.0642 0.1283  2 Co 2.78
La3 0.3867 0.3225 0.6449  1 Co 2.60
La4 0.5839 0.6858 0.3717  2 Co 2.78

---

Entry 5:
First-principles (GGA-PBE) data for a relaxed SbIr2PdRu crystal, as listed in Alexandria.

* density of states at the Fermi level: 6.288 states/eV/f.u.
* magnetic moment: 0.00 μB/f.u.
* formation energy without anion corrections: 128.0 kJ/mol of atoms

a = 4.6580 Å, b = 4.9276 Å, c = 4.6580 Å
α = 90.00°, β = 90.00°, γ = 90.00°
With the nearest neighbours (Å) after each atom.
Fractional coordinates of all 5 atoms:
Sb1 0.5000 0.5000 0.5000  4 Pd 3.29, 8 Ir 3.39
Ru1 0.0000 0.0000 0.0000  4 Ir 2.33, 2 Pd 2.46
Ir1 0.0000 0.0000 0.5000  2 Ru 2.33
Ir2 0.5000 0.0000 0.0000  2 Ru 2.33
Pd1 0.0000 0.5000 0.0000  2 Ru 2.46

---

Entry 6:
First-principles (GGA-PBE) data for a relaxed SmThZr crystal, as listed in Alexandria.

* distance to the lowest polymorph of the same formula: 202 meV/atom
* density of states at the Fermi level: 4.177 states/eV/f.u.
* magnetic moment: 0.00 μB/f.u.

a = 4.4986 Å, b = 4.4986 Å, c = 8.8777 Å
α = 90.00°, β = 90.00°, γ = 90.00°
With the nearest neighbours (Å) after each atom.
Fractional coordinates of all 6 atoms:
Zr1 0.5000 0.0000 0.2687  5 Th 3.03-3.36, 4 Sm 3.28
Zr2 0.0000 0.5000 0.7313  5 Th 3.03-3.36, 4 Sm 3.28
Th1 0.5000 0.0000 0.6095  5 Zr 3.03-3.36
Th2 0.0000 0.5000 0.3905  5 Zr 3.03-3.36
Sm1 0.5000 0.5000 0.0000  4 Sm 3.18, 4 Zr 3.28
Sm2 0.0000 0.0000 0.0000  4 Sm 3.18, 4 Zr 3.28

---

Entry 7:
First-principles (GGA-PBE) data for a relaxed ZrTe2Rh crystal, as listed in Alexandria.

* distance to the lowest polymorph of the same formula: 433 meV/atom
* density of states at the Fermi level: 2.120 states/eV/f.u.
* magnetic moment: 0.00 μB/f.u.
* formation energy without anion corrections: -27.9 kJ/mol of atoms

a = 5.8199 Å, b = 5.8199 Å, c = 5.8199 Å
α = 138.71°, β = 138.71°, γ = 59.82°
With the nearest neighbours (Å) after each atom.
Fractional coordinates of all 4 atoms:
Rh1 0.7500 0.2500 0.5000  4 Te 2.90
Te1 0.2500 0.7500 0.5000  4 Rh 2.90
Te2 0.0000 0.0000 0.0000  4 Zr 2.90
Zr1 0.5000 0.5000 0.0000  4 Te 2.90

---

Entry 8:
First-principles (GGA-PBE) data for a relaxed LaY2GaH crystal, as listed in Alexandria.

* density of states at the Fermi level: 6.920 states/eV/f.u.
* magnetic moment: 0.00 μB/f.u.
* electronic total energy: -0.190 hartree per atom

a = 4.8930 Å, b = 4.8930 Å, c = 4.7359 Å
α = 90.00°, β = 90.00°, γ = 90.00°
With the nearest neighbours (Å) after each atom.
Fractional coordinates of all 5 atoms:
Y1 0.0000 0.5000 0.0000  2 H 2.45
Y2 0.5000 0.0000 0.0000  2 H 2.45
Ga1 0.5000 0.5000 0.5000  8 Y 3.40, 4 La 3.46
La1 0.0000 0.0000 0.5000  2 H 2.37
H1 0.0000 0.0000 0.0000  2 La 2.37, 4 Y 2.45

---

Entry 9:
First-principles (GGA-PBE) data for a relaxed Cs4TeH2 crystal, as listed in Alexandria.

* distance to the lowest polymorph of the same formula: 102 meV/atom
* density of states at the Fermi level: 2.465 states/eV/f.u.
* magnetic moment: 0.00 μB/f.u.

a = 7.4788 Å, b = 7.4788 Å, c = 9.9695 Å
α = 67.97°, β = 67.97°, γ = 90.00°
With the nearest neighbours (Å) after each atom.
Fractional coordinates of all 7 atoms:
Te1 0.0000 0.0000 0.0000  6 Cs 3.68-3.74
H1 0.4773 0.4773 0.0453  1 H 0.77
H2 0.5227 0.5227 0.9547  1 H 0.77
Cs1 0.5000 0.0000 0.0000  2 Te 3.74, 4 H 3.76
Cs2 0.2176 0.2176 0.5647  1 Te 3.68
Cs3 0.7824 0.7824 0.4353  1 Te 3.68
Cs4 0.0000 0.5000 0.0000  2 Te 3.74, 4 H 3.76

---

Entry 10:
First-principles (GGA-PBE) data for a relaxed MgTi5Rh6 crystal, as listed in Alexandria.

* density of states at the Fermi level: 12.308 states/eV/f.u.
* magnetic moment: 0.00 μB/f.u.
* electronic total energy: -0.288 hartree per atom

a = 4.4508 Å, b = 7.6729 Å, c = 7.6729 Å
α = 121.39°, β = 106.86°, γ = 106.86°
With the nearest neighbours (Å) after each atom.
Fractional coordinates of all 12 atoms:
Rh1 0.2532 0.0822 0.4242  7 Ti 2.66-2.73, 1 Mg 2.75
Rh2 0.7566 0.2566 0.2566  6 Ti 2.65-2.70, 2 Mg 2.71, 1 Rh 2.95
Rh3 0.7468 0.9178 0.5758  7 Ti 2.66-2.73, 1 Mg 2.75
Rh4 0.2532 0.4242 0.0822  7 Ti 2.66-2.73, 1 Mg 2.75
Rh5 0.2434 0.7434 0.7434  6 Ti 2.65-2.70, 2 Mg 2.71, 1 Rh 2.95
Rh6 0.7468 0.5758 0.9178  7 Ti 2.66-2.73, 1 Mg 2.75
Ti1 0.5000 0.1646 0.8354  8 Rh 2.66-2.70
Ti2 0.5000 0.8354 0.1646  8 Rh 2.66-2.70
Ti3 0.0000 0.6645 0.3355  8 Rh 2.65-2.68
Ti4 0.5000 0.5000 0.5000  8 Rh 2.67-2.73
Ti5 0.0000 0.3355 0.6645  8 Rh 2.65-2.68
Mg1 0.0000 0.0000 0.0000  8 Rh 2.71-2.75, 2 Ti 3.03

---

Entry 11:
First-principles (GGA-PBE) data for a relaxed ZnOs2Pt crystal, as listed in Alexandria.

* density of states at the Fermi level: 3.456 states/eV/f.u.
* magnetic moment: 0.00 μB/f.u.
* electronic total energy: -0.263 hartree per atom

a = 4.1973 Å, b = 3.7391 Å, c = 3.7391 Å
α = 90.00°, β = 90.00°, γ = 90.00°
With the nearest neighbours (Å) after each atom.
Fractional coordinates of all 4 atoms:
Zn1 0.5000 0.0000 0.5000  4 Pt 2.64, 8 Os 2.81
Os1 0.0000 0.5000 0.5000  4 Os 2.64, 4 Pt 2.81, 4 Zn 2.81
Os2 0.0000 0.0000 0.0000  4 Os 2.64, 4 Zn 2.81, 4 Pt 2.81
Pt1 0.5000 0.5000 0.0000  4 Zn 2.64, 8 Os 2.81

---

Entry 12:
First-principles (GGA-PBE) data for a relaxed Y3Ir crystal, as listed in Alexandria.

* density of states at the Fermi level: 2.831 states/eV/f.u.
* magnetic moment: 0.00 μB/f.u.
* electronic total energy: -0.278 hartree per atom

a = 6.1512 Å, b = 8.8410 Å, c = 8.8410 Å
α = 83.05°, β = 69.64°, γ = 69.64°
With the nearest neighbours (Å) after each atom.
Fractional coordinates of all 16 atoms:
Y1 0.6006 0.0003 0.4066  2 Ir 2.86
Y2 0.4999 0.6419 0.3585  4 Ir 2.95-3.17
Y3 0.8582 0.6415 0.6419  4 Ir 2.95-3.17
Y4 0.8490 0.8092 0.0003  2 Ir 2.97, 2 Y 3.16-3.26
Y5 0.9928 0.4066 0.9997  2 Ir 2.86
Y6 0.3418 0.9997 0.8092  2 Ir 2.97, 2 Y 3.16-3.26
Y7 0.6585 0.1908 0.9997  2 Ir 2.97, 2 Y 3.16-3.26
Y8 0.3992 0.5934 0.0003  2 Ir 2.86
Y9 0.1416 0.3585 0.3581  4 Ir 2.95-3.17
Y10 0.5003 0.3581 0.6415  4 Ir 2.95-3.17
Y11 0.1506 0.0003 0.1908  2 Ir 2.97, 2 Y 3.16-3.26
Y12 0.0075 0.9997 0.5934  2 Ir 2.86
Ir1 0.0004 0.2913 0.7082  8 Y 2.86-3.17
Ir2 0.9999 0.7087 0.2918  8 Y 2.86-3.17
Ir3 0.2914 0.7082 0.7087  8 Y 2.86-3.17
Ir4 0.7083 0.2918 0.2913  8 Y 2.86-3.17